AlZnHg2 | PBE | optimized geometry

Lattice parameters (Å, degrees): 8.645 8.645 8.645 22.39 22.39 22.39
Fractional coordinates of all 4 atoms:
1 Al 0.000 0.000 0.000
2 Zn 0.500 0.500 0.500
3 Hg 0.249 0.249 0.249
4 Hg 0.751 0.751 0.751

Output
size of the total moment: 0.0 μB/f.u.
energy of formation from the pure elements: 0.12 eV per atom
energy: -1.2810 eV/atom

=====

AlZnHg2 | PBE | optimized geometry

Lattice parameters (Å, degrees): 3.091 3.091 8.592 90.00 90.00 90.00
Fractional coordinates of all 4 atoms:
1 Al 0.000 0.000 0.000
2 Zn 0.500 0.500 0.801
3 Hg 0.000 0.000 0.553
4 Hg 0.500 0.500 0.255

Output
size of the total moment: 0.0 μB/f.u.
energy of formation from the pure elements: 0.13 eV per atom
energy: -1.2772 eV/atom

=====

AlZnHg2 | PBE | optimized geometry

Lattice parameters (Å, degrees): 4.570 4.570 5.945 101.92 101.92 43.30
Fractional coordinates of all 4 atoms:
1 Al 0.000 0.000 0.000
2 Zn 0.500 0.500 0.500
3 Hg 0.249 0.249 0.747
4 Hg 0.751 0.751 0.253

Output
size of the total moment: 0.0 μB/f.u.
energy of formation from the pure elements: 0.12 eV per atom
energy: -1.2812 eV/atom